# PmHo2Te PBE-GGA optimized geometry
# * crystal system: tetragonal
# * ΔE to the lowest computed polymorph: 111 meV/atom
# * formation energy without anion corrections: -2.18 eV per formula unit
data_PmHo2Te
_chemical_formula_sum 'Pm1 Ho2 Te1'
_symmetry_space_group_name_H-M 'P 1'
_symmetry_Int_Tables_number 1
_cell_length_a 3.856
_cell_length_b 3.856
_cell_length_c 7.996
_cell_angle_alpha 90.00
_cell_angle_beta 90.00
_cell_angle_gamma 90.00
loop_
_symmetry_equiv_pos_as_xyz
'x,y,z'
loop_
_atom_site_label
_atom_site_type_symbol
_atom_site_fract_x
_atom_site_fract_y
_atom_site_fract_z
Te1 Te 0.500 0.500 0.500
Ho1 Ho 0.000 0.000 0.720
Ho2 Ho 0.000 0.000 0.280
Pm1 Pm 0.500 0.500 0.000